Ta2MnZnO8 (PBE+U, relaxed); total moment = 3.0 μB/f.u.; space group = No. 5; E = -8.17 eV per atom; mass density = 7.11 g/cm3
1.0
9.840 -2.869 0.000
9.840 2.869 0.000
-0.634 0.000 5.047
Ta Mn Zn O
4 2 2 16
Cartesian
2.292 0.000 0.222 Ta
7.199 0.850 2.350 Ta
11.846 0.850 2.697 Ta
16.754 0.000 4.825 Ta
9.840 -0.167 0.000 Mn
9.523 -1.842 2.524 Mn
4.756 -0.096 4.444 Zn
14.290 -0.096 0.603 Zn
3.156 1.056 4.798 O
0.726 -0.251 3.478 O
6.488 1.278 0.557 O
2.939 -0.449 1.952 O
8.161 1.126 4.140 O
10.885 1.126 0.907 O
5.876 -0.270 2.875 O
12.558 1.278 4.490 O
8.612 -0.389 1.513 O
10.434 -0.389 3.535 O
15.890 1.056 0.249 O
8.290 -1.625 4.048 O
13.170 -0.270 2.172 O
10.756 -1.625 0.999 O
16.106 -0.449 3.095 O
18.320 -0.251 1.570 O